(1)
## Zn2AgBiS (PBEsol)

Data for an optimized crystal structure of Zn2AgBiS.

N(E_F), states/eV per atom: 0.521
Space group: P4/mmm
Raw formation energy, eV/atom: 0.478
Calculated total energy, eV for the cell shown: -12.75

Unit cell a=4.699 b=4.699 c=5.498 alpha=90.00 beta=90.00 gamma=90.00
Fractional positions:
Zn: 0.000 0.500 0.000
Zn: 0.500 0.000 0.000
Ag: 0.000 0.000 0.000
Bi: 0.000 0.000 0.500
S: 0.500 0.500 0.500

(2)
## AgBiSb2Te (PBEsol)

Data for an optimized crystal structure of AgBiSb2Te.

N(E_F), states/eV per atom: 0.940
Space group: P4/mmm
Raw formation energy, eV/atom: 0.522
Calculated total energy, eV for the cell shown: -17.63

Unit cell a=5.265 b=5.265 c=5.333 alpha=90.00 beta=90.00 gamma=90.00
Fractional positions:
Ag: 0.000 0.000 0.000
Bi: 0.500 0.500 0.500
Sb: 0.000 0.500 0.000
Sb: 0.500 0.000 0.000
Te: 0.000 0.000 0.500

(3)
## ScAgBi3 (PBEsol)

Data for an optimized crystal structure of ScAgBi3.

Formation energy from the elements, eV/atom: 0.448
N(E_F), states/eV per atom: 0.835
Space group: Pm-3m
Calculated total energy, eV for the cell shown: -20.53

Unit cell a=5.384 b=5.384 c=5.384 alpha=90.00 beta=90.00 gamma=90.00
Fractional positions:
Sc: 0.000 0.000 0.000
Ag: 0.500 0.500 0.500
Bi: 0.000 0.500 0.500
Bi: 0.500 0.000 0.500
Bi: 0.500 0.500 0.000

(4)
## Sc3AgBi (PBEsol)

Data for an optimized crystal structure of Sc3AgBi.

Formation energy from the elements, eV/atom: 0.031
N(E_F), states/eV per atom: 1.051
Space group: Pm-3m
Calculated total energy, eV for the cell shown: -27.26

Unit cell a=5.088 b=5.088 c=5.088 alpha=90.00 beta=90.00 gamma=90.00
Fractional positions:
Sc: 0.000 0.000 0.500
Sc: 0.000 0.500 0.000
Sc: 0.500 0.000 0.000
Ag: 0.000 0.000 0.000
Bi: 0.500 0.500 0.500

- Look up the N(E_F) of the third one.
  0.835 states/eV per atom

- The highest N(E_F) belongs to which entry?
  Sc3AgBi